[1]
Here is LuHfIn2 after structural relaxation from OQMD via LeMat-Bulk. Energies are from PBE-GGA.

space group: F-43m (216)
theoretical density: 10.11 Mg/m³
total DFT energy (no corrections): -19.0 eV per cell

The structure in POSCAR format:
```
LuHfIn2
1.0
0.000 3.631 3.631
3.631 0.000 3.631
3.631 3.631 0.000
Lu Hf In
1 1 2
Cartesian
0.000 0.000 0.000
1.816 1.816 1.816
3.631 3.631 3.631
5.447 5.447 5.447
```

[2]
Here is AcTlW after structural relaxation from OQMD via LeMat-Bulk. Energies are from PBE-GGA.

space group: F-43m (216)
excess energy over the best structure of this formula in the dataset: 0.0 kJ/mol of formula units
theoretical density: 11.25 Mg/m³
total DFT energy (no corrections): -16.1 eV per cell

The structure in POSCAR format:
```
AcTlW
1.0
0.000 3.568 3.568
3.568 0.000 3.568
3.568 3.568 0.000
Ac Tl W
1 1 1
Cartesian
0.000 0.000 0.000
3.568 3.568 3.568
5.351 5.351 5.351
```

[3]
Here is LaAgTePbS2 after structural relaxation from OQMD via LeMat-Bulk. Energies are from PBE-GGA.

space group: Cmcm (63)
theoretical density: 6.18 Mg/m³
total DFT energy (no corrections): -57.3 eV per cell

The structure in POSCAR format:
```
LaAgTePbS2
1.0
2.106 -7.076 0.000
2.106 7.076 0.000
0.000 0.000 11.649
La Ag Te Pb S
2 2 2 2 4
Cartesian
0.000 0.000 0.000
0.000 0.000 5.825
2.106 0.200 8.737
2.106 -0.200 2.912
2.106 5.417 8.737
2.106 -5.417 2.912
2.106 4.147 2.912
2.106 -4.147 8.737
2.106 1.764 6.734
2.106 1.764 10.739
2.106 -1.764 0.910
2.106 -1.764 4.915
```

[4]
Here is LuTlCoNi after structural relaxation from OQMD via LeMat-Bulk. Energies are from PBE-GGA.

space group: F-43m (216)
excess energy over the best structure of this formula in the dataset: 0.0 kJ/mol of formula units
theoretical density: 12.37 Mg/m³
total DFT energy (no corrections): -19.9 eV per cell

The structure in POSCAR format:
```
LuTlCoNi
1.0
0.000 3.219 3.219
3.219 0.000 3.219
3.219 3.219 0.000
Lu Tl Co Ni
1 1 1 1
Cartesian
0.000 0.000 0.000
3.219 3.219 3.219
4.829 4.829 4.829
1.610 1.610 1.610
```

[5]
Here is DyHo2Mg3In2Hg after structural relaxation from OQMD via LeMat-Bulk. Energies are from PBE-GGA.

space group: Amm2 (38)
theoretical density: 7.38 Mg/m³
total DFT energy (no corrections): -27.9 eV per cell

The structure in POSCAR format:
```
DyHo2Mg3In2Hg
1.0
4.602 0.000 0.000
0.000 6.500 3.745
0.000 -6.500 3.745
Dy Ho Mg In Hg
1 2 3 2 1
Cartesian
0.000 0.000 0.000
0.000 -2.741 4.738
0.000 2.741 4.738
2.301 -1.553 2.265
2.301 1.553 2.265
2.301 0.000 4.951
2.301 -4.328 3.158
2.301 4.328 3.158
0.000 0.000 3.167
```

[6]
Here is Cs2TaSb2 after structural relaxation from OQMD via LeMat-Bulk. Energies are from PBE-GGA.

space group: Cmcm (63)
theoretical density: 5.55 Mg/m³
total DFT energy (no corrections): -44.6 eV per cell

The structure in POSCAR format:
```
Cs2TaSb2
1.0
4.170 -8.552 0.000
4.170 8.552 0.000
0.000 0.000 5.786
Cs Ta Sb
4 2 4
Cartesian
4.170 6.942 4.340
4.170 3.760 1.447
4.170 -3.760 4.340
4.170 -6.942 1.447
4.170 0.000 0.000
4.170 0.000 2.893
2.388 1.640 4.340
2.388 -1.640 1.447
5.953 1.640 4.340
5.953 -1.640 1.447
```

[7]
Here is Cu3Ag after structural relaxation from OQMD via LeMat-Bulk. Energies are from PBE-GGA.

energy of formation: 74 meV per atom
space group: Pmmm (47)
theoretical density: 9.32 Mg/m³
total DFT energy (no corrections): -27.4 eV per cell

The structure in POSCAR format:
```
Cu3Ag
1.0
2.693 0.000 0.000
0.000 3.646 0.000
0.000 0.000 10.833
Cu Ag
6 2
Cartesian
0.000 0.000 0.000
0.000 0.000 2.495
0.000 0.000 5.417
0.000 0.000 8.339
1.347 1.823 1.252
1.347 1.823 9.581
1.347 1.823 3.962
1.347 1.823 6.871
```

[8]
Here is HfPt after structural relaxation from OQMD via LeMat-Bulk. Energies are from PBE-GGA.

energy of formation: -697 meV per atom
space group: P-6m2 (187)
theoretical density: 16.67 Mg/m³
total DFT energy (no corrections): -17.4 eV per cell

The structure in POSCAR format:
```
HfPt
1.0
3.275 0.000 0.000
-1.637 2.836 0.000
0.000 0.000 4.007
Hf Pt
1 1
Cartesian
0.000 0.000 0.000
1.637 0.945 2.003
```

[9]
Here is PmHfPb after structural relaxation from OQMD via LeMat-Bulk. Energies are from PBE-GGA.

space group: F-43m (216)
excess energy over the best structure of this formula in the dataset: 0.0 kJ/mol of formula units
theoretical density: 9.76 Mg/m³
total DFT energy (no corrections): -17.8 eV per cell

The structure in POSCAR format:
```
PmHfPb
1.0
0.000 3.561 3.561
3.561 0.000 3.561
3.561 3.561 0.000
Pm Hf Pb
1 1 1
Cartesian
0.000 0.000 0.000
3.561 3.561 3.561
5.342 5.342 5.342
```

[10]
Here is Si2Sb2Os3 after structural relaxation from OQMD via LeMat-Bulk. Energies are from PBE-GGA.

space group: R3m (160)
theoretical density: 12.21 Mg/m³
total DFT energy (no corrections): -51.1 eV per cell

The structure in POSCAR format:
```
Si2Sb2Os3
1.0
2.163 1.249 7.300
-2.163 1.249 7.300
0.000 -2.498 7.300
Si Sb Os
2 2 3
Cartesian
0.000 0.000 0.000
0.000 0.000 10.833
0.000 0.000 5.254
0.000 0.000 16.473
0.000 0.000 8.081
0.000 0.000 13.656
0.000 0.000 19.138
```

[11]
Here is NdSm2Ga2Pd4 after structural relaxation from OQMD via LeMat-Bulk. Energies are from PBE-GGA.

space group: C2/m (12)
theoretical density: 8.66 Mg/m³
total DFT energy (no corrections): -48.3 eV per cell

The structure in POSCAR format:
```
NdSm2Ga2Pd4
1.0
5.113 -2.194 0.000
5.113 2.194 0.000
-1.151 0.000 8.634
Nd Sm Ga Pd
1 2 2 4
Cartesian
0.000 0.000 0.000
3.149 0.000 5.314
5.926 0.000 3.321
3.018 0.000 1.885
6.057 0.000 6.749
0.149 0.000 5.499
1.835 0.000 7.871
7.240 0.000 0.764
8.926 0.000 3.135
```

[12]
Here is ZrZnCo2 after structural relaxation from OQMD via LeMat-Bulk. Energies are from PBE-GGA.

energy of formation: -169 meV per atom
space group: P6_3/mmc (194)
theoretical density: 7.87 Mg/m³
total DFT energy (no corrections): -49.4 eV per cell

The structure in POSCAR format:
```
ZrZnCo2
1.0
4.131 0.000 0.000
-2.066 3.578 0.000
0.000 0.000 7.833
Zr Zn Co
2 2 4
Cartesian
0.000 2.385 1.958
2.066 1.193 5.874
0.000 0.000 0.000
0.000 0.000 3.916
0.000 2.385 4.639
0.000 2.385 7.110
2.066 1.193 0.723
2.066 1.193 3.193
```

[13]
Here is CsHoCl3 after structural relaxation from OQMD via LeMat-Bulk. Energies are from PBE-GGA.

space group: Pm-3m (221)
excess energy over the best structure of this formula in the dataset: 25.3 kJ/mol of formula units
theoretical density: 4.44 Mg/m³
total DFT energy (no corrections): -20.5 eV per cell

The structure in POSCAR format:
```
CsHoCl3
1.0
5.328 0.000 0.000
0.000 5.328 0.000
0.000 0.000 5.328
Cs Ho Cl
1 1 3
Cartesian
0.000 0.000 0.000
2.664 2.664 2.664
0.000 2.664 2.664
2.664 0.000 2.664
2.664 2.664 0.000
```